# Sr2SbPdO6

An optimized crystal structure of Sr2SbPdO6 (GGA-PBE, Alexandria via LeMat-Bulk).

Cell: 5.754 8.139 5.754 Å, 90.00 90.00 90.00°
Space group Pmmn (No. 59, origin choice 2)
Symmetry-distinct sites (fractional):
Sr  0.250  0.000  0.250 (multiplicity 4)
Sb  0.250  0.250  0.750 (multiplicity 2)
Pd  0.250  0.750  0.750 (multiplicity 2)
O  0.004  0.250  0.503 (multiplicity 4)
O  0.004  0.250  0.995 (multiplicity 4)
O  0.250  0.004  0.750 (multiplicity 4)

The uncorrected formation energy comes out at -1756 meV per atom. The total energy comes out at -120.0 eV/cell.

# SrSbPdO6

An optimized crystal structure of SrSbPdO6 (GGA-PBE, Alexandria via LeMat-Bulk).

Cell: 5.3093 5.3093 5.4587 Å, 90.00 90.00 120.00°
Space group P312 (No. 149)
Symmetry-distinct sites (fractional):
Sr  0.0000  0.0000  0.0000 (multiplicity 1)
Sb  0.6667  0.3333  0.5000 (multiplicity 1)
Pd  0.3333  0.6667  0.5000 (multiplicity 1)
O  0.0009  0.3716  0.7043 (multiplicity 6)

The uncorrected formation energy comes out at -1357 meV per atom. The total energy comes out at -53.0 eV/cell.

# SrSb2PdO8

An optimized crystal structure of SrSb2PdO8 (GGA-PBE, Alexandria via LeMat-Bulk).

Cell: 5.4920 5.4920 6.4992 Å, 90.00 90.00 120.00°
Space group P-3 (No. 147)
Symmetry-distinct sites (fractional):
Sr  0.0000  0.0000  0.0000 (multiplicity 1)
Sb  0.3333  0.6667  0.4117 (multiplicity 2)
Pd  0.0000  0.0000  0.5000 (multiplicity 1)
O  0.0697  0.3590  0.6368 (multiplicity 6)
O  0.3333  0.6667  0.1192 (multiplicity 2)

The uncorrected formation energy comes out at -1166 meV per atom. The total energy comes out at -68.8 eV/cell.

# USbPdO

An optimized crystal structure of USbPdO (GGA-PBE, Alexandria via LeMat-Bulk).

Cell: 4.068 4.068 8.947 Å, 90.00 90.00 90.00°
Space group P4/nmm (No. 129, origin choice 2)
Symmetry-distinct sites (fractional):
U  0.250  0.250  0.131 (multiplicity 2)
Sb  0.250  0.250  0.694 (multiplicity 2)
Pd  0.250  0.750  0.500 (multiplicity 2)
O  0.250  0.750  0.000 (multiplicity 2)

The uncorrected formation energy comes out at -1455 meV per atom. The total energy comes out at -62.8 eV/cell.

What did the second record say?
# SrSbPdO6

An optimized crystal structure of SrSbPdO6 (GGA-PBE, Alexandria via LeMat-Bulk).

Cell: 5.3093 5.3093 5.4587 Å, 90.00 90.00 120.00°
Space group P312 (No. 149)
Symmetry-distinct sites (fractional):
Sr  0.0000  0.0000  0.0000 (multiplicity 1)
Sb  0.6667  0.3333  0.5000 (multiplicity 1)
Pd  0.3333  0.6667  0.5000 (multiplicity 1)
O  0.0009  0.3716  0.7043 (multiplicity 6)

The uncorrected formation energy comes out at -1357 meV per atom. The total energy comes out at -53.0 eV/cell.

Number 1 is which compound?
Sr2SbPdO6